# 1
# NdHoLuGa

A geometry-optimized NdHoLuGa structure (PBE, Alexandria via LeMat-Bulk).

Unit cell a=5.3353 b=5.3353 c=5.3353 alpha=60.00 beta=60.00 gamma=60.00
Fractional positions:
1 Nd 0.0000 0.0000 0.0000
2 Ho 0.5000 0.5000 0.5000
3 Lu 0.2500 0.2500 0.2500
4 Ga 0.7500 0.7500 0.7500

Output
**Energy relative to the elements**: -0.106 eV/atom

# 2
# Cs4Cd2HgAu2

A geometry-optimized Cs4Cd2HgAu2 structure (PBE, Alexandria via LeMat-Bulk).

Unit cell a=7.5331 b=7.5331 c=7.0575 alpha=94.66 beta=94.66 gamma=88.55
Fractional positions:
1 Cs 0.0823 0.6674 0.7490
2 Cs 0.3326 0.9177 0.2510
3 Cs 0.6674 0.0823 0.7490
4 Cs 0.9177 0.3326 0.2510
5 Cd 0.1898 0.1898 0.7977
6 Cd 0.8102 0.8102 0.2023
7 Hg 0.5000 0.5000 0.5000
8 Au 0.3877 0.3877 0.0968
9 Au 0.6123 0.6123 0.9032

Output
**Energy relative to the elements**: -0.153 eV/atom

# 3
# Ti4CoNi

A geometry-optimized Ti4CoNi structure (PBE, Alexandria via LeMat-Bulk).

Unit cell a=5.9620 b=5.9620 c=5.0272 alpha=90.00 beta=90.00 gamma=90.00
Fractional positions:
1 Ti 0.1596 0.3309 0.0000
2 Ti 0.1596 0.6691 0.5000
3 Ti 0.3309 0.1596 0.5000
4 Ti 0.3309 0.8404 0.0000
5 Ti 0.6691 0.1596 0.0000
6 Ti 0.6691 0.8404 0.5000
7 Ti 0.8404 0.3309 0.5000
8 Ti 0.8404 0.6691 0.0000
9 Co 0.0000 0.0000 0.2500
10 Co 0.0000 0.0000 0.7500
11 Ni 0.5000 0.5000 0.2500
12 Ni 0.5000 0.5000 0.7500

Output
**Energy relative to the elements**: -0.261 eV/atom

# 4
# Tb6Dy

A geometry-optimized Tb6Dy structure (PBE, Alexandria via LeMat-Bulk).

Unit cell a=6.4775 b=6.4775 c=11.0036 alpha=90.00 beta=90.00 gamma=90.00
Fractional positions:
1 Tb 0.0821 0.5821 0.1383
2 Tb 0.0821 0.9179 0.8617
3 Tb 0.2500 0.2500 0.3610
4 Tb 0.2500 0.2500 0.6390
5 Tb 0.4179 0.5821 0.8617
6 Tb 0.4179 0.9179 0.1383
7 Tb 0.5821 0.0821 0.8617
8 Tb 0.5821 0.4179 0.1383
9 Tb 0.7500 0.7500 0.3610
10 Tb 0.7500 0.7500 0.6390
11 Tb 0.9179 0.0821 0.1383
12 Tb 0.9179 0.4179 0.8617
13 Dy 0.2500 0.7500 0.5000
14 Dy 0.7500 0.2500 0.5000

Output
**Energy relative to the elements**: 0.262 eV/atom

# 5
# ZnCuS2

A geometry-optimized ZnCuS2 structure (PBE, Alexandria via LeMat-Bulk).

Unit cell a=6.5702 b=6.5702 c=6.5702 alpha=33.20 beta=33.20 gamma=33.20
Fractional positions:
1 Zn 0.0000 0.0000 0.0000
2 Cu 0.5026 0.5026 0.5026
3 S 0.3783 0.3783 0.3783
4 S 0.8737 0.8737 0.8737

Output
**Formation energy (no corrections)**: -0.460 eV per atom

# 6
# LiSc4O5

A geometry-optimized LiSc4O5 structure (PBE, Alexandria via LeMat-Bulk).

Unit cell a=8.3002 b=8.3002 c=8.3002 alpha=158.21 beta=149.38 gamma=37.90
Fractional positions:
1 Li 0.0000 0.0000 0.0000
2 Sc 0.2008 0.2008 0.0000
3 Sc 0.4032 0.4032 0.0000
4 Sc 0.5968 0.5968 0.0000
5 Sc 0.7992 0.7992 0.0000
6 O 0.1005 0.6005 0.5000
7 O 0.3024 0.8024 0.5000
8 O 0.5000 0.0000 0.5000
9 O 0.6976 0.1976 0.5000
10 O 0.8995 0.3995 0.5000

Output
**Formation energy (no corrections)**: -2.936 eV per atom

# 7
# K4SiPt

A geometry-optimized K4SiPt structure (PBE, Alexandria via LeMat-Bulk).

Unit cell a=6.3647 b=6.3647 c=6.3647 alpha=60.00 beta=60.00 gamma=60.00
Fractional positions:
1 K 0.1243 0.1243 0.1243
2 K 0.1243 0.1243 0.6270
3 K 0.1243 0.6270 0.1243
4 K 0.6270 0.1243 0.1243
5 Si 0.5000 0.5000 0.5000
6 Pt 0.7500 0.7500 0.7500

Output
**Formation energy (no corrections)**: 0.734 eV per atom

# 8
# Ho4HgTe2As

A geometry-optimized Ho4HgTe2As structure (PBE, Alexandria via LeMat-Bulk).

Unit cell a=7.4395 b=4.1585 c=7.5297 alpha=90.00 beta=108.25 gamma=90.00
Fractional positions:
1 Ho 0.2241 0.0000 0.2340
2 Ho 0.2321 0.5000 0.7512
3 Ho 0.7679 0.5000 0.2488
4 Ho 0.7759 0.0000 0.7660
5 Hg 0.0000 0.0000 0.5000
6 Te 0.5000 0.0000 0.0000
7 Te 0.5000 0.5000 0.5000
8 As 0.0000 0.5000 0.0000

Output
**Formation energy (no corrections)**: -1.127 eV per atom

# 9
# PrMg3Ge2

A geometry-optimized PrMg3Ge2 structure (PBE, Alexandria via LeMat-Bulk).

Unit cell a=8.5816 b=8.5816 c=8.3167 alpha=117.51 beta=117.51 gamma=29.90
Fractional positions:
1 Pr 0.1451 0.1451 0.0663
2 Pr 0.8549 0.8549 0.9337
3 Mg 0.0492 0.0492 0.3777
4 Mg 0.3115 0.3115 0.5475
5 Mg 0.3976 0.3976 0.2992
6 Mg 0.6024 0.6024 0.7008
7 Mg 0.6885 0.6885 0.4525
8 Mg 0.9508 0.9508 0.6223
9 Ge 0.2052 0.2052 0.7267
10 Ge 0.4845 0.4845 0.8362
11 Ge 0.5155 0.5155 0.1638
12 Ge 0.7948 0.7948 0.2733

Output
**Energy relative to the elements**: -0.390 eV/atom

# 10
# PuUAs

A geometry-optimized PuUAs structure (PBE, Alexandria via LeMat-Bulk).

Unit cell a=5.2777 b=5.2777 c=5.2777 alpha=140.73 beta=140.73 gamma=56.75
Fractional positions:
1 Pu 0.0000 0.0000 0.0000
2 U 0.3806 0.3806 0.0000
3 As 0.6891 0.6891 0.0000

Output
**Energy relative to the elements**: -0.372 eV/atom

# 11
# Na2PrCd4

A geometry-optimized Na2PrCd4 structure (PBE, Alexandria via LeMat-Bulk).

Unit cell a=8.8089 b=8.8089 c=8.8089 alpha=33.59 beta=33.59 gamma=33.59
Fractional positions:
1 Na 0.1384 0.1384 0.1384
2 Na 0.8616 0.8616 0.8616
3 Pr 0.0000 0.0000 0.0000
4 Cd 0.2691 0.2691 0.2691
5 Cd 0.4031 0.4031 0.4031
6 Cd 0.5969 0.5969 0.5969
7 Cd 0.7309 0.7309 0.7309

Output
**Energy relative to the elements**: -0.206 eV/atom

# 12
# VIn2Sn4

A geometry-optimized VIn2Sn4 structure (PBE, Alexandria via LeMat-Bulk).

Unit cell a=8.7015 b=8.7015 c=8.7015 alpha=145.35 beta=145.35 gamma=49.82
Fractional positions:
1 V 0.0000 0.0000 0.0000
2 In 0.3575 0.3575 0.0000
3 In 0.6425 0.6425 0.0000
4 Sn 0.0000 0.5000 0.5000
5 Sn 0.1662 0.1662 0.0000
6 Sn 0.5000 0.0000 0.5000
7 Sn 0.8338 0.8338 0.0000

Output
**Energy relative to the elements**: 0.306 eV/atom

# 13
# SrAgSb

A geometry-optimized SrAgSb structure (PBE, Alexandria via LeMat-Bulk).

Unit cell a=7.8357 b=4.8081 c=13.2885 alpha=90.00 beta=90.07 gamma=90.00
Fractional positions:
1 Sr 0.0062 0.2500 0.1935
2 Sr 0.3298 0.7500 0.5737
3 Sr 0.4925 0.7500 0.8708
4 Sr 0.5075 0.2500 0.1292
5 Sr 0.6702 0.2500 0.4263
6 Sr 0.9938 0.7500 0.8065
7 Ag 0.0078 0.2500 0.5954
8 Ag 0.1671 0.2500 0.9531
9 Ag 0.3368 0.7500 0.2896
10 Ag 0.6632 0.2500 0.7104
11 Ag 0.8329 0.7500 0.0469
12 Ag 0.9922 0.7500 0.4046
13 Sb 0.2246 0.7500 0.0707
14 Sb 0.2309 0.2500 0.4047
15 Sb 0.2811 0.2500 0.7459
16 Sb 0.7189 0.7500 0.2541
17 Sb 0.7691 0.7500 0.5953
18 Sb 0.7754 0.2500 0.9293

Output
**Formation energy (no corrections)**: -0.712 eV per atom

# 14
# Tm5Cu2

A geometry-optimized Tm5Cu2 structure (PBE, Alexandria via LeMat-Bulk).

Unit cell a=8.6827 b=8.6827 c=6.7499 alpha=95.52 beta=95.52 gamma=43.88
Fractional positions:
1 Tm 0.0561 0.9439 0.7500
2 Tm 0.1592 0.2819 0.2994
3 Tm 0.2819 0.1592 0.7994
4 Tm 0.2894 0.5213 0.0592
5 Tm 0.4787 0.7106 0.4408
6 Tm 0.5213 0.2894 0.5592
7 Tm 0.7106 0.4787 0.9408
8 Tm 0.7181 0.8408 0.2006
9 Tm 0.8408 0.7181 0.7006
10 Tm 0.9439 0.0561 0.2500
11 Cu 0.0996 0.6804 0.4419
12 Cu 0.3196 0.9004 0.0581
13 Cu 0.6804 0.0996 0.9419
14 Cu 0.9004 0.3196 0.5581

Output
**Energy relative to the elements**: -0.141 eV/atom

# 15
# MgTa3

A geometry-optimized MgTa3 structure (PBE, Alexandria via LeMat-Bulk).

Unit cell a=2.7980 b=4.7990 c=5.6185 alpha=90.00 beta=99.34 gamma=90.00
Fractional positions:
1 Mg 0.0000 0.0000 0.0000
2 Ta 0.2486 0.5000 0.7367
3 Ta 0.5000 0.0000 0.5000
4 Ta 0.7514 0.5000 0.2633

Output
**Energy relative to the elements**: 0.214 eV/atom

# 16
# ScTeAu2

A geometry-optimized ScTeAu2 structure (PBE, Alexandria via LeMat-Bulk).

Unit cell a=4.9432 b=4.9432 c=4.9432 alpha=60.00 beta=60.00 gamma=60.00
Fractional positions:
1 Sc 0.0000 0.0000 0.0000
2 Te 0.2500 0.2500 0.2500
3 Au 0.5000 0.5000 0.5000
4 Au 0.7500 0.7500 0.7500

Output
**Formation energy (no corrections)**: -0.376 eV per atom

# 17
# PrHoAl

A geometry-optimized PrHoAl structure (PBE, Alexandria via LeMat-Bulk).

Unit cell a=4.7782 b=4.7782 c=7.7364 alpha=90.00 beta=90.00 gamma=90.00
Fractional positions:
1 Pr 0.2500 0.2500 0.2068
2 Pr 0.7500 0.7500 0.7932
3 Ho 0.2500 0.2500 0.7362
4 Ho 0.7500 0.7500 0.2638
5 Al 0.2500 0.7500 0.5000
6 Al 0.7500 0.2500 0.5000

Output
**Energy relative to the elements**: -0.085 eV/atom

# 18
# Tl6SbPb2

A geometry-optimized Tl6SbPb2 structure (PBE, Alexandria via LeMat-Bulk).

Unit cell a=9.2338 b=9.2338 c=4.2207 alpha=95.96 beta=95.96 gamma=125.54
Fractional positions:
1 Tl 0.0043 0.3312 0.3304
2 Tl 0.1735 0.1735 0.8347
3 Tl 0.3312 0.0043 0.3304
4 Tl 0.6688 0.9957 0.6696
5 Tl 0.8265 0.8265 0.1653
6 Tl 0.9957 0.6688 0.6696
7 Sb 0.5000 0.5000 0.5000
8 Pb 0.3499 0.6501 0.0000
9 Pb 0.6501 0.3499 0.0000

Output
**Formation energy (no corrections)**: 0.024 eV per atom

# 19
# TaCoTe2

A geometry-optimized TaCoTe2 structure (PBE, Alexandria via LeMat-Bulk).

Unit cell a=8.0252 b=8.0252 c=8.0252 alpha=24.73 beta=24.73 gamma=24.73
Fractional positions:
1 Ta 0.0000 0.0000 0.0000
2 Co 0.5000 0.5000 0.5000
3 Te 0.2445 0.2445 0.2445
4 Te 0.7555 0.7555 0.7555

Output
**Formation energy (no corrections)**: 0.250 eV per atom

# 20
# La6Nd2Y

A geometry-optimized La6Nd2Y structure (PBE, Alexandria via LeMat-Bulk).

Unit cell a=10.2721 b=10.2721 c=3.7120 alpha=90.00 beta=90.00 gamma=124.25
Fractional positions:
1 La 0.0081 0.3359 0.0000
2 La 0.1778 0.1778 0.5000
3 La 0.3359 0.0081 0.0000
4 La 0.6641 0.9919 0.0000
5 La 0.8222 0.8222 0.5000
6 La 0.9919 0.6641 0.0000
7 Nd 0.3263 0.6737 0.5000
8 Nd 0.6737 0.3263 0.5000
9 Y 0.5000 0.5000 0.0000

Output
**Energy relative to the elements**: 0.113 eV/atom